# FeW2Au

A crystal of FeW2Au relaxed with PBEsol (meta-GGA SCAN, Alexandria via LeMat-Bulk).

Results
**Offset from the most stable computed form**: 85 meV per atom
**Total DFT energy (no corrections)**: -225.20 eV for the cell shown

Cell lengths 3.255, 3.255, 5.626 Å; angles 90.00, 90.00, 90.00 degrees
Element x y z (fractional)
Fe 0.500 0.500 0.500
W 0.000 0.000 0.284
Au 0.500 0.500 0.000
W 0.000 0.000 0.716